Record 1
Here is crystalline ZrMn2In at its relaxed geometry from Alexandria via LeMat-Bulk. Energies are from PBE.

abc: 3.3190 3.3190 6.3494
angles: 90.00 90.00 90.00
Last column: magnetic moment on the atom in μB.
Atoms (fractional coordinates):
Zr1 0.5000 0.5000 0.2500  -0.63
Mn1 0.0000 0.0000 0.4900  2.83
Mn2 0.0000 0.0000 0.0100  2.83
In1 0.5000 0.5000 0.7500  -0.12

Output
calculated formation energy	0.229	eV per formula unit
SG	P4/mmm

=====

Record 2
Here is crystalline CaTl2In2 at its relaxed geometry from Alexandria via LeMat-Bulk. Energies are from PBE.

abc: 6.4774 8.3204 6.9335
angles: 79.06 59.93 63.48
Atoms (fractional coordinates):
Tl1 0.7022 0.0999 0.9878
Tl2 0.2978 0.9001 0.0122
Tl3 0.9088 0.6817 0.2146
Tl4 0.0912 0.3183 0.7854
Ca1 0.4745 0.4809 0.2688
Ca2 0.5255 0.5191 0.7312
In1 0.3037 0.9243 0.5025
In2 0.9242 0.7299 0.7192
In3 0.0758 0.2701 0.2808
In4 0.6963 0.0757 0.4975

Output
energy above the lowest structure with this stoichiometry	0.0000	eV per atom
calculated formation energy	-0.717	eV per formula unit
SG	P-1